Record 1
Material: ScW2Au
Method: DFT, PBE
State: optimized geometry

Calculated values
Density   14265 kg/m3
Energy above the most stable polymorph in this dataset   7.61 kJ per mole of atoms
ΔH_f (0 K)   0.106 eV per atom

Cell and atoms, written as CIF:
```
data_ScW2Au
_chemical_formula_sum 'Sc1 W2 Au1'
_symmetry_space_group_name_H-M 'P 1 m 1'
_symmetry_Int_Tables_number 6
_symmetry_space_group_name_Hall 'P -2y'
_cell_length_a 2.867
_cell_length_b 4.239
_cell_length_c 5.896
_cell_angle_alpha 90.00
_cell_angle_beta 98.03
_cell_angle_gamma 90.00
loop_
_atom_site_label
_atom_site_fract_x
_atom_site_fract_y
_atom_site_fract_z
Sc1 0.000 0.000 0.000
W1 0.468 0.500 0.271
W2 0.827 0.000 0.476
Au1 0.431 0.500 0.763
```



Record 2
Material: ScWAu2
Method: DFT, PBE
State: optimized geometry

Calculated values
Density   14250 kg/m3
Energy above the most stable polymorph in this dataset   10.50 kJ per mole of atoms
ΔH_f (0 K)   0.069 eV per atom

Cell and atoms, written as CIF:
```
data_ScWAu2
_chemical_formula_sum 'Sc1 W1 Au2'
_symmetry_space_group_name_H-M 'P 4/m m m'
_symmetry_Int_Tables_number 123
_symmetry_space_group_name_Hall '-P 4 2'
_cell_length_a 3.465
_cell_length_b 3.465
_cell_length_c 6.042
_cell_angle_alpha 90.00
_cell_angle_beta 90.00
_cell_angle_gamma 90.00
loop_
_atom_site_label
_atom_site_fract_x
_atom_site_fract_y
_atom_site_fract_z
Sc1 0.000 0.000 0.000
W1 0.000 0.000 0.500
Au1 0.500 0.500 0.260
```



Record 3
Material: ScW2Au
Method: DFT, PBE
State: optimized geometry

Calculated values
Density   14469 kg/m3
Energy above the most stable polymorph in this dataset   5.70 kJ per mole of atoms
ΔH_f (0 K)   0.086 eV per atom

Cell and atoms, written as CIF:
```
data_ScW2Au
_chemical_formula_sum 'Sc2 W4 Au2'
_symmetry_space_group_name_H-M 'C m m 2'
_symmetry_Int_Tables_number 35
_symmetry_space_group_name_Hall 'C 2 -2'
_cell_length_a 3.335
_cell_length_b 4.590
_cell_length_c 9.142
_cell_angle_alpha 90.00
_cell_angle_beta 90.00
_cell_angle_gamma 90.00
loop_
_atom_site_label
_atom_site_fract_x
_atom_site_fract_y
_atom_site_fract_z
Sc1 0.000 0.000 0.000
W1 0.000 0.000 0.488
W2 0.000 0.500 0.256
Au1 0.000 0.500 0.743
```